Entry w
The following is a DFT calculation (PBE) of a geometry-optimized Er5Tl2Ir structure.

a b c (Å): 5.4219 8.6457 12.3835
angles (deg): 90.00 90.00 108.27
Positions (direct):
Tl  0.1145  0.2291  0.8689
Tl  0.8855  0.7709  0.1311
Er  0.7026  0.4051  0.9268
Ir  0.8057  0.6114  0.7500
Er  0.2974  0.5949  0.4268
Er  0.0763  0.1526  0.3973
Tl  0.1145  0.2291  0.6311
Er  0.0763  0.1526  0.1027
Er  0.9237  0.8474  0.8973
Er  0.2915  0.5829  0.7500
Er  0.9237  0.8474  0.6027
Er  0.7085  0.4171  0.2500
Er  0.7026  0.4051  0.5732
Er  0.2974  0.5949  0.0732
Tl  0.8855  0.7709  0.3689
Ir  0.1943  0.3886  0.2500

Properties
Magnetization = 0.00 μB per formula unit
Crystal system = orthorhombic

Entry x
The following is a DFT calculation (PBE) of a geometry-optimized Er5Tl2Ir structure.

a b c (Å): 4.7293 7.2860 12.3316
angles (deg): 90.00 90.00 90.00
Positions (direct):
Tl  0.5000  0.0845  0.3343
Er  0.0000  0.1348  0.7927
Tl  0.5000  0.4155  0.8343
Er  0.0000  0.8652  0.2073
Er  0.0000  0.0000  0.5000
Er  0.0000  0.6348  0.7073
Er  0.5000  0.1779  0.0779
Er  0.0000  0.3652  0.2927
Er  0.5000  0.3221  0.5779
Ir  0.0000  0.5000  0.5000
Er  0.5000  0.6779  0.4221
Er  0.5000  0.8221  0.9221
Er  0.0000  0.5000  0.0000
Tl  0.5000  0.9155  0.6657
Tl  0.5000  0.5845  0.1657
Ir  0.0000  0.0000  0.0000

Properties
Magnetization = 0.00 μB per formula unit
Crystal system = orthorhombic

Which is the most stable structure? entry x is the most stable.